AcCu2Sn4: optimized geometry, GGA-PBE.

Structure (POSCAR):
```
AcCu2Sn4
1.0
21.527 0.000 0.000
0.000 4.490 0.000
0.000 0.000 7.160
Ac Cu Sn
4 8 16
direct
0.135 0.250 0.018 Ac
0.365 0.750 0.518 Ac
0.635 0.250 0.482 Ac
0.865 0.750 0.982 Ac
0.037 0.750 0.736 Cu
0.197 0.250 0.480 Cu
0.303 0.750 0.980 Cu
0.463 0.250 0.236 Cu
0.537 0.750 0.764 Cu
0.697 0.250 0.020 Cu
0.803 0.750 0.520 Cu
0.963 0.250 0.264 Cu
0.025 0.750 0.140 Sn
0.067 0.250 0.507 Sn
0.171 0.750 0.684 Sn
0.216 0.750 0.280 Sn
0.284 0.250 0.780 Sn
0.329 0.250 0.184 Sn
0.433 0.750 0.007 Sn
0.475 0.250 0.640 Sn
0.525 0.750 0.360 Sn
0.567 0.250 0.993 Sn
0.671 0.750 0.816 Sn
0.716 0.750 0.220 Sn
0.784 0.250 0.720 Sn
0.829 0.250 0.316 Sn
0.933 0.750 0.493 Sn
0.975 0.250 0.860 Sn
```

## Properties
space-group type	Pnma, No. 62
E_form	-0.231	eV/atom
total moment	0.00	μB/atom
E above lowest polymorph	0.000	eV/atom